# 1
The following is a GGA+U calculation of crystalline Na3CoO3 at its relaxed geometry, from Alexandria via LeMat-Bulk.

Output
DFT total energy ... -4.710 eV per atom

abc: 5.777 6.025 12.916
angles: 59.62 90.00 90.00
Each line ends with the local moment (μB).
Fractional coordinates of all 28 atoms:
Na 0.985 0.127 0.596  0.01
Na 0.515 0.975 0.380  0.00
Na 0.417 0.559 0.178  0.00
Na 0.485 0.873 0.904  0.01
Na 0.515 0.127 0.096  0.01
Na 0.015 0.025 0.120  0.00
Na 0.015 0.873 0.404  0.01
Na 0.917 0.441 0.322  0.00
Na 0.083 0.559 0.678  0.00
Na 0.583 0.441 0.822  0.00
Na 0.485 0.025 0.620  0.00
Na 0.985 0.975 0.880  0.00
O 0.728 0.216 0.726  0.26
O 0.247 0.193 0.429  0.27
O 0.693 0.492 0.448  0.29
O 0.747 0.807 0.071  0.27
O 0.228 0.784 0.774  0.26
O 0.772 0.216 0.226  0.26
O 0.807 0.492 0.948  0.29
O 0.272 0.784 0.274  0.26
O 0.253 0.193 0.929  0.27
O 0.193 0.508 0.052  0.29
O 0.753 0.807 0.571  0.27
O 0.307 0.508 0.552  0.29
Co 0.636 0.509 0.592  2.90
Co 0.864 0.509 0.092  2.90
Co 0.136 0.491 0.908  2.90
Co 0.364 0.491 0.408  2.90

---

# 2
The following is a GGA+U calculation of crystalline Na4Co7O14 at its relaxed geometry, from Alexandria via LeMat-Bulk.

Output
DFT total energy ... -5.556 eV per atom

abc: 7.501 7.501 11.128
angles: 90.00 90.00 120.00
Each line ends with the local moment (μB).
Fractional coordinates of all 50 atoms:
O 0.193 0.238 0.589  0.01
O 0.667 0.333 0.094  0.00
O 0.046 0.807 0.911  0.01
O 0.807 0.762 0.411  0.01
O 0.904 0.380 0.916  0.03
O 0.238 0.046 0.411  0.01
O 0.904 0.380 0.584  0.03
O 0.193 0.238 0.911  0.01
O 0.046 0.807 0.589  0.01
O 0.762 0.954 0.911  0.01
O 0.096 0.620 0.416  0.03
O 0.762 0.954 0.589  0.01
O 0.954 0.193 0.411  0.01
O 0.477 0.096 0.916  0.03
O 0.667 0.333 0.406  0.00
O 0.333 0.667 0.594  0.00
O 0.477 0.096 0.584  0.03
O 0.380 0.477 0.416  0.03
O 0.620 0.523 0.584  0.03
O 0.620 0.523 0.916  0.03
O 0.238 0.046 0.089  0.01
O 0.807 0.762 0.089  0.01
O 0.954 0.193 0.089  0.01
O 0.380 0.477 0.084  0.03
O 0.333 0.667 0.906  0.00
O 0.523 0.904 0.084  0.03
O 0.523 0.904 0.416  0.03
O 0.096 0.620 0.084  0.03
Co 0.144 0.428 0.998  0.45
Co 0.715 0.144 0.498  0.45
Co 0.856 0.572 0.002  0.45
Co 0.856 0.572 0.498  0.45
Co 0.144 0.428 0.502  0.45
Co 0.428 0.285 0.498  0.45
Co 0.572 0.715 0.502  0.45
Co 0.285 0.856 0.502  0.45
Co 0.000 0.000 0.500  0.07
Co 0.572 0.715 0.998  0.45
Co 0.000 0.000 0.000  0.07
Co 0.428 0.285 0.002  0.45
Co 0.715 0.144 0.002  0.45
Co 0.285 0.856 0.998  0.45
Na 0.410 0.452 0.750  0.00
Na 0.042 0.590 0.750  0.00
Na 0.000 0.000 0.250  0.00
Na 0.000 0.000 0.750  0.00
Na 0.590 0.548 0.250  0.00
Na 0.452 0.042 0.250  0.00
Na 0.548 0.958 0.750  0.00
Na 0.958 0.410 0.250  0.00

---

# 3
The following is a GGA+U calculation of crystalline Na14Co2O9 at its relaxed geometry, from Alexandria via LeMat-Bulk.

Output
DFT total energy ... -4.154 eV per atom

abc: 6.659 6.659 9.378
angles: 90.00 90.00 120.00
Each line ends with the local moment (μB).
Fractional coordinates of all 25 atoms:
Na 0.312 0.935 0.407  0.00
Na 0.675 0.640 0.908  0.00
Na 0.035 0.675 0.092  0.00
Na 0.360 0.035 0.908  0.00
Na 0.623 0.688 0.407  0.00
Na 0.000 0.000 0.251  0.00
Na 0.065 0.377 0.407  0.00
Na 0.965 0.325 0.908  0.00
Na 0.640 0.965 0.092  0.00
Na 0.000 0.000 0.749  0.00
Na 0.325 0.360 0.092  0.00
Na 0.688 0.065 0.593  0.00
Na 0.377 0.312 0.593  0.00
Na 0.935 0.623 0.593  0.00
O 0.000 0.000 0.000  0.00
O 0.637 0.695 0.664  0.06
O 0.058 0.363 0.664  0.06
O 0.695 0.058 0.336  0.06
O 0.942 0.637 0.336  0.06
O 0.305 0.942 0.664  0.06
O 0.333 0.667 0.956  0.06
O 0.363 0.305 0.336  0.06
O 0.667 0.333 0.044  0.06
Co 0.333 0.667 0.738  2.62
Co 0.667 0.333 0.262  2.62